1.
Computed, not measured: an optimized crystal structure of KBaLa2Mo at the PBE level of DFT.

Summary:
energy of formation from the pure elements = 31.54 kcal/mol of atoms
symmetry = P4/mmm (123)

```
KBaLa2Mo
1.0
6.130 0.000 0.000
0.000 6.130 0.000
0.000 0.000 5.307
K Ba La Mo
1 1 2 1
Direct
0.000 0.000 0.000
0.500 0.500 0.500
0.000 0.500 0.500
0.500 0.000 0.500
0.500 0.500 0.000
```

2.
Computed, not measured: an optimized crystal structure of KBa2LaO4 at the PBE level of DFT.

Summary:
symmetry = P2/m (10)
formation energy (no corrections) = -2.47 eV/atom

```
KBa2LaO4
1.0
6.630 0.000 0.000
0.000 3.876 0.000
-2.183 0.000 6.296
K Ba La O
1 2 1 4
Direct
0.000 0.000 0.000
0.500 0.000 0.500
0.500 0.500 0.000
0.000 0.500 0.500
0.234 0.500 0.292
0.235 0.000 0.729
0.765 0.000 0.271
0.766 0.500 0.708
```